# 1
Below is an optimized crystal structure of NaSiGeIr2, with properties calculated at the PBE level.

Calculated values
spin magnetization: 0.0 μB per formula unit
DFT total energy: -6.291 eV per atom
volume: 17.262 Å³/atom

Structure (POSCAR):
```
NaSiGeIr2
1.0
-2.069 2.069 5.041
2.069 -2.069 5.041
2.069 2.069 -5.041
Na Si Ge Ir
1 1 1 2
Direct
0.000 0.000 0.000
0.370 0.370 0.000
0.620 0.620 0.000
0.256 0.756 0.500
0.756 0.256 0.500
```

=====

# 2
Below is an optimized crystal structure of Cs2TcTe3, with properties calculated at the PBE level.

Calculated values
spin magnetization: 0.2 μB per formula unit
DFT total energy: -4.112 eV per atom
volume: 41.558 Å³/atom

Structure (POSCAR):
```
Cs2TcTe3
1.0
6.650 -5.180 0.000
6.650 5.180 0.000
0.000 0.000 7.239
Cs Tc Te
4 2 6
Direct
0.018 0.670 0.750
0.330 0.982 0.750
0.670 0.018 0.250
0.982 0.330 0.250
0.401 0.599 0.250
0.599 0.401 0.750
0.153 0.847 0.250
0.376 0.376 0.000
0.376 0.376 0.500
0.624 0.624 0.000
0.624 0.624 0.500
0.847 0.153 0.750
```